Entry from the Alexandria database: a relaxed VCoOsF2 crystal (PBE+U).

a = 3.668 Å, b = 3.668 Å, c = 5.769 Å
α = 90.00°, β = 90.00°, γ = 90.00°
Space group P4/mmm (No. 123)
Asymmetric unit:
V  0.000  0.000  0.000 x1
Co  0.500  0.500  0.500 x1
Os  0.500  0.500  0.000 x1
F  0.000  0.500  0.500 x2

Values from the calculation:
E: -26.68 eV for the cell shown
Density: 7.2 g/cm³